a | This record from the Alexandria database describes Ga3Ag after structural relaxation. The functional is GGA-PBEsol.

a = 4.1351 Å, b = 4.1351 Å, c = 8.0187 Å
α = 90.00°, β = 90.00°, γ = 90.00°
With the nearest neighbours (Å) after each atom.
Space group I4/mmm (No. 139)
Asymmetric unit:
Ga  0.0000  0.0000  0.0000 [2 per cell]  8 Ga 2.88, 4 Ag 2.92
Ga  0.0000  0.5000  0.2500 [4 per cell]  4 Ag 2.88, 8 Ga 2.88-2.92
Ag  0.0000  0.0000  0.5000 [2 per cell]  12 Ga 2.88-2.92

Density = 7.679 g/cm³
Density of states at the Fermi level = 2.83 states/eV/cell
Total moment = 0.00 μB/f.u.

b | This record from the Alexandria database describes Ga3Ag after structural relaxation. The functional is GGA-PBEsol.

a = 6.5469 Å, b = 6.5469 Å, c = 6.5469 Å
α = 90.00°, β = 90.00°, γ = 90.00°
With the nearest neighbours (Å) after each atom.
Space group Fm-3m (No. 225)
Asymmetric unit:
Ga  0.0000  0.0000  0.0000 [4 per cell]  8 Ga 2.83
Ga  0.2500  0.2500  0.2500 [8 per cell]  4 Ga 2.83, 4 Ag 2.83
Ag  0.0000  0.0000  0.5000 [4 per cell]  8 Ga 2.83

Density = 7.504 g/cm³
Density of states at the Fermi level = 6.97 states/eV/cell
Total moment = 0.00 μB/f.u.

Stability, highest: a

a | This record from the Alexandria database describes La2GaAg2 after structural relaxation. The functional is GGA-PBEsol.

a = 7.7372 Å, b = 7.7372 Å, c = 4.1467 Å
α = 90.00°, β = 90.00°, γ = 90.00°
With the nearest neighbours (Å) after each atom.
Space group P4/mbm (No. 127)
Asymmetric unit:
La  0.1792  0.3208  0.0000 [4 per cell]  6 Ag 2.98-3.17
Ga  0.0000  0.0000  0.5000 [2 per cell]  4 Ag 3.06
Ag  0.1254  0.6254  0.5000 [4 per cell]  1 Ag 2.75, 2 La 2.98, 2 Ga 3.06

Density = 7.536 g/cm³
Density of states at the Fermi level = 7.92 states/eV/cell
Total moment = 0.00 μB/f.u.

b | This record from the Alexandria database describes La2GaAg2 after structural relaxation. The functional is GGA-PBEsol.

a = 5.8752 Å, b = 5.8752 Å, c = 7.6899 Å
α = 90.00°, β = 90.00°, γ = 90.00°
With the nearest neighbours (Å) after each atom.
Space group I4/mmm (No. 139)
Asymmetric unit:
La  0.0000  0.5000  0.2500 [4 per cell]  4 Ag 3.01
Ga  0.0000  0.0000  0.0000 [2 per cell]  2 Ag 2.59
Ag  0.0000  0.0000  0.3368 [4 per cell]  1 Ag 2.51, 1 Ga 2.59

Density = 7.047 g/cm³
Density of states at the Fermi level = 8.44 states/eV/cell
Total moment = 0.00 μB/f.u.

Stability, highest: a

a | This record from the Alexandria database describes La2AgH2 after structural relaxation. The functional is GGA-PBEsol.

a = 3.8165 Å, b = 3.8165 Å, c = 13.1718 Å
α = 90.00°, β = 90.00°, γ = 90.00°
With the nearest neighbours (Å) after each atom.
Space group I4/mmm (No. 139)
Asymmetric unit:
La  0.0000  0.0000  0.1444 [4 per cell]  4 H 2.36
Ag  0.0000  0.0000  0.5000 [2 per cell]  8 La 3.30
H  0.0000  0.5000  0.2500 [4 per cell]  4 La 2.36

Density = 6.711 g/cm³
Density of states at the Fermi level = 7.03 states/eV/cell
Total moment = 0.00 μB/f.u.

b | This record from the Alexandria database describes La2AgH2 after structural relaxation. The functional is GGA-PBEsol.

a = 7.2476 Å, b = 7.2476 Å, c = 3.2956 Å
α = 90.00°, β = 90.00°, γ = 90.00°
With the nearest neighbours (Å) after each atom.
Space group P4/mbm (No. 127)
Asymmetric unit:
La  0.1689  0.3311  0.0000 [4 per cell]  6 H 2.68-2.74
Ag  0.0000  0.0000  0.5000 [2 per cell]  4 H 2.90, 8 La 3.16
H  0.1181  0.6181  0.5000 [4 per cell]  1 H 2.42, 4 La 2.68

Density = 7.438 g/cm³
Density of states at the Fermi level = 8.35 states/eV/cell
Total moment = 0.00 μB/f.u.

Stability, highest: a

a | This record from the Alexandria database describes AgH3Pt after structural relaxation. The functional is GGA-PBEsol.

a = 3.5440 Å, b = 3.5440 Å, c = 3.5440 Å
α = 90.00°, β = 90.00°, γ = 90.00°
With the nearest neighbours (Å) after each atom.
Space group Pm-3m (No. 221)
Asymmetric unit:
Ag  0.0000  0.0000  0.0000 [1 per cell]  12 H 2.51
H  0.0000  0.5000  0.5000 [3 per cell]  2 Pt 1.77
Pt  0.5000  0.5000  0.5000 [1 per cell]  6 H 1.77

Density = 11.414 g/cm³
Density of states at the Fermi level = 0.31 states/eV/cell
Total moment = 0.00 μB/f.u.

b | This record from the Alexandria database describes AgH3Pt after structural relaxation. The functional is GGA-PBEsol.

a = 3.5265 Å, b = 3.5265 Å, c = 3.5265 Å
α = 90.00°, β = 90.00°, γ = 90.00°
With the nearest neighbours (Å) after each atom.
Space group Pm-3m (No. 221)
Asymmetric unit:
Ag  0.0000  0.0000  0.0000 [1 per cell]  6 H 1.76
H  0.0000  0.0000  0.5000 [3 per cell]  2 Ag 1.76
Pt  0.5000  0.5000  0.5000 [1 per cell]  12 H 2.49

Density = 11.585 g/cm³
Density of states at the Fermi level = 0.89 states/eV/cell
Total moment = 0.00 μB/f.u.

Stability, highest: a

a | This record from the Alexandria database describes ReAgH2 after structural relaxation. The functional is GGA-PBEsol.

a = 5.3198 Å, b = 5.3198 Å, c = 5.3198 Å
α = 90.00°, β = 90.00°, γ = 90.00°
With the nearest neighbours (Å) after each atom.
Space group Fm-3m (No. 225)
Asymmetric unit:
Re  0.0000  0.0000  0.0000 [4 per cell]  8 H 2.30
Ag  0.0000  0.0000  0.5000 [4 per cell]  8 H 2.30
H  0.2500  0.2500  0.2500 [8 per cell]  4 Re 2.30, 4 Ag 2.30

Density = 13.063 g/cm³
Density of states at the Fermi level = 13.63 states/eV/cell
Total moment = 0.65 μB/f.u.

b | This record from the Alexandria database describes ReAgH2 after structural relaxation. The functional is GGA-PBEsol.

a = 5.1309 Å, b = 5.1309 Å, c = 5.6365 Å
α = 90.00°, β = 90.00°, γ = 90.00°
With the nearest neighbours (Å) after each atom.
Space group I-42d (No. 122)
Asymmetric unit:
Re  0.0000  0.0000  0.0000 [4 per cell]  4 H 1.78
Ag  0.0000  0.0000  0.5000 [4 per cell]  4 H 2.14
H  0.1962  0.2500  0.1250 [8 per cell]  2 Re 1.78

Density = 13.254 g/cm³
Density of states at the Fermi level = 3.62 states/eV/cell
Total moment = 0.00 μB/f.u.

Stability, highest: b

a | This record from the Alexandria database describes AgH3Rh after structural relaxation. The functional is GGA-PBEsol.

a = 10.2749 Å, b = 3.0434 Å, c = 2.8333 Å
α = 90.00°, β = 103.98°, γ = 90.00°
With the nearest neighbours (Å) after each atom.
Space group Cm (No. 8)
Asymmetric unit:
Ag  0.0000  0.0000  0.0000 [2 per cell]  3 H 1.92-2.12
H  0.1718  0.0000  0.7086 [2 per cell]  2 Rh 1.76-1.77
H  0.2036  0.5000  0.2448 [2 per cell]  2 Rh 1.69
H  0.3831  0.0000  0.8948 [2 per cell]  2 Rh 1.76-1.77, 2 Ag 1.92
Rh  0.2779  0.0000  0.3037 [2 per cell]  6 H 1.69-1.77

Density = 8.259 g/cm³
Density of states at the Fermi level = 1.16 states/eV/cell
Total moment = 0.00 μB/f.u.

b | This record from the Alexandria database describes AgH3Rh after structural relaxation. The functional is GGA-PBEsol.

a = 3.4391 Å, b = 3.4391 Å, c = 3.4391 Å
α = 90.00°, β = 90.00°, γ = 90.00°
With the nearest neighbours (Å) after each atom.
Space group Pm-3m (No. 221)
Asymmetric unit:
Ag  0.0000  0.0000  0.0000 [1 per cell]  12 H 2.43
H  0.0000  0.5000  0.5000 [3 per cell]  2 Rh 1.72
Rh  0.5000  0.5000  0.5000 [1 per cell]  6 H 1.72

Density = 8.728 g/cm³
Density of states at the Fermi level = 0.59 states/eV/cell
Total moment = 0.00 μB/f.u.

Stability, highest: a

a | This record from the Alexandria database describes HfAgS2N after structural relaxation. The functional is GGA-PBEsol.

a = 4.6363 Å, b = 4.6363 Å, c = 3.8951 Å
α = 90.00°, β = 90.00°, γ = 90.00°
With the nearest neighbours (Å) after each atom.
Space group P4/mmm (No. 123)
Asymmetric unit:
Hf  0.0000  0.0000  0.0000 [1 per cell]  8 S 3.03, 4 N 3.28
Ag  0.5000  0.5000  0.5000 [1 per cell]  2 N 1.95
S  0.0000  0.5000  0.5000 [2 per cell]  2 Ag 2.32
N  0.5000  0.5000  0.0000 [1 per cell]  2 Ag 1.95

Density = 7.229 g/cm³
Density of states at the Fermi level = 3.14 states/eV/cell
Total moment = 0.00 μB/f.u.

b | This record from the Alexandria database describes HfAgS2N after structural relaxation. The functional is GGA-PBEsol.

a = 4.9347 Å, b = 4.9347 Å, c = 4.0983 Å
α = 90.00°, β = 90.00°, γ = 90.00°
With the nearest neighbours (Å) after each atom.
Space group P4/mmm (No. 123)
Asymmetric unit:
Hf  0.0000  0.0000  0.0000 [1 per cell]  2 N 2.05
Ag  0.5000  0.5000  0.5000 [1 per cell]  8 S 3.21, 4 N 3.49
S  0.0000  0.5000  0.0000 [2 per cell]  2 Hf 2.47
N  0.0000  0.0000  0.5000 [1 per cell]  2 Hf 2.05

Density = 6.065 g/cm³
Density of states at the Fermi level = 1.94 states/eV/cell
Total moment = 1.82 μB/f.u.

Stability, highest: b